Te: PBEsol geometry, SCAN.

Cell: 4.3100 4.3100 5.9572 Å, 90.00 90.00 120.00°
Space group P3_121 (No. 152)
Symmetry-distinct sites (fractional):
Te 0.0000 0.2857 0.1667 (multiplicity 3)

## Properties
The calculation puts the formation energy (no corrections) at 0.000 eV/atom. Its energy above the most stable polymorph in this dataset is 0.00 eV per formula unit.

=====

Te: PBEsol geometry, SCAN.

Cell: 12.0859 12.0859 4.6729 Å, 90.00 90.00 120.00°
Space group R-3 (No. 148, hexagonal axes)
Symmetry-distinct sites (fractional):
Te 0.0371 0.8130 0.1598 (multiplicity 18)

## Properties
The calculation puts the formation energy (no corrections) at 0.013 eV/atom. Its energy above the most stable polymorph in this dataset is 0.01 eV per formula unit.

=====

ThTe: PBEsol geometry, SCAN.

Cell: 3.7997 3.7997 3.7997 Å, 90.00 90.00 90.00°
Space group Pm-3m (No. 221)
Symmetry-distinct sites (fractional):
Th 0.0000 0.0000 0.0000 (multiplicity 1)
Te 0.5000 0.5000 0.5000 (multiplicity 1)

## Properties
The calculation puts the formation energy (no corrections) at -1.111 eV/atom.

=====

Th7Te12: PBEsol geometry, SCAN.

Cell: 12.4145 12.4145 4.2864 Å, 90.00 90.00 120.00°
Space group P-6 (No. 174)
Symmetry-distinct sites (fractional):
Th 0.0000 0.0000 0.0000 (multiplicity 1)
Th 0.1638 0.4525 0.5000 (multiplicity 3)
Th 0.4377 0.2782 0.0000 (multiplicity 3)
Te 0.0073 0.2548 0.0000 (multiplicity 3)
Te 0.1328 0.6250 0.0000 (multiplicity 3)
Te 0.2158 0.2132 0.5000 (multiplicity 3)
Te 0.5213 0.1368 0.5000 (multiplicity 3)

## Properties
The calculation puts the formation energy (no corrections) at -1.286 eV/atom.

=====

TiTe: PBEsol geometry, SCAN.

Cell: 3.6069 3.6069 7.2282 Å, 90.00 90.00 120.00°
Space group P6_3/mmc (No. 194)
Symmetry-distinct sites (fractional):
Ti 0.0000 0.0000 0.0000 (multiplicity 2)
Te 0.3333 0.6667 0.2500 (multiplicity 2)

## Properties
The calculation puts the formation energy (no corrections) at -0.650 eV/atom.

=====

TiTe2W: PBEsol geometry, SCAN.

Cell: 4.4346 4.4346 17.7050 Å, 90.00 90.00 90.00°
Space group I-42d (No. 122)
Symmetry-distinct sites (fractional):
Ti 0.0000 0.0000 0.0000 (multiplicity 4)
Te 0.2458 0.2500 0.6250 (multiplicity 8)
W 0.0000 0.0000 0.5000 (multiplicity 4)

## Properties
The calculation puts the formation energy (no corrections) at 0.677 eV/atom.

=====

Ti3ZnTe: PBEsol geometry, SCAN.

Cell: 4.9105 4.9105 4.9105 Å, 90.00 90.00 90.00°
Space group Pm-3m (No. 221)
Symmetry-distinct sites (fractional):
Ti 0.0000 0.0000 0.5000 (multiplicity 3)
Zn 0.5000 0.5000 0.5000 (multiplicity 1)
Te 0.0000 0.0000 0.0000 (multiplicity 1)

## Properties
The calculation puts the formation energy (no corrections) at 0.800 eV/atom.

=====

TiZnTe2: PBEsol geometry, SCAN.

Cell: 6.2588 6.2588 12.0504 Å, 90.00 90.00 90.00°
Space group I-42d (No. 122)
Symmetry-distinct sites (fractional):
Ti 0.0000 0.0000 0.0000 (multiplicity 4)
Zn 0.0000 0.0000 0.5000 (multiplicity 4)
Te 0.2393 0.2500 0.6250 (multiplicity 8)

## Properties
The calculation puts the formation energy (no corrections) at -0.397 eV/atom.

=====

ZrTiTe4: PBEsol geometry, SCAN.

Cell: 6.4781 3.7787 6.5854 Å, 90.00 90.13 90.00°
Space group P2/m (No. 10)
Symmetry-distinct sites (fractional):
Zr 0.0000 0.0000 0.0000 (multiplicity 1)
Ti 0.0000 0.5000 0.5000 (multiplicity 1)
Te 0.2679 0.0000 0.3439 (multiplicity 2)
Te 0.2780 0.5000 0.8227 (multiplicity 2)

## Properties
The calculation puts the formation energy (no corrections) at -0.826 eV/atom.

=====

TlTe5: PBEsol geometry, SCAN.

Cell: 5.8723 14.7201 4.5207 Å, 90.00 90.00 90.00°
Space group Cmmm (No. 65)
Symmetry-distinct sites (fractional):
Tl 0.0000 0.0000 0.0000 (multiplicity 2)
Te 0.0000 0.2264 0.5000 (multiplicity 4)
Te 0.0000 0.3561 0.0000 (multiplicity 4)
Te 0.0000 0.5000 0.5000 (multiplicity 2)

## Properties
The calculation puts the formation energy (no corrections) at -0.026 eV/atom.

=====

TlTeW3: PBEsol geometry, SCAN.

Cell: 4.9485 4.9485 4.9485 Å, 90.00 90.00 90.00°
Space group Pm-3m (No. 221)
Symmetry-distinct sites (fractional):
Tl 0.0000 0.0000 0.0000 (multiplicity 1)
Te 0.5000 0.5000 0.5000 (multiplicity 1)
W 0.0000 0.0000 0.5000 (multiplicity 3)

## Properties
The calculation puts the formation energy (no corrections) at 3.346 eV/atom.

=====

TlTeW: PBEsol geometry, SCAN.

Cell: 3.3319 3.3319 6.9212 Å, 90.00 90.00 120.00°
Space group P3m1 (No. 156)
Symmetry-distinct sites (fractional):
Tl 0.0000 0.0000 0.0000 (multiplicity 1)
Te 0.3333 0.6667 0.4092 (multiplicity 1)
W 0.6667 0.3333 0.6757 (multiplicity 1)

## Properties
The calculation puts the formation energy (no corrections) at 0.628 eV/atom. Its energy above the most stable polymorph in this dataset is 0.00 eV per formula unit.

=====

Tl2TeW: PBEsol geometry, SCAN.

Cell: 6.4419 9.1489 3.0335 Å, 90.00 90.00 90.00°
Space group Cmmm (No. 65)
Symmetry-distinct sites (fractional):
Tl 0.2500 0.2500 0.0000 (multiplicity 4)
Te 0.0000 0.0000 0.5000 (multiplicity 2)
W 0.0000 0.5000 0.5000 (multiplicity 2)

## Properties
The calculation puts the formation energy (no corrections) at 1.046 eV/atom.

=====

TlTeW: PBEsol geometry, SCAN.

Cell: 6.8936 6.8936 6.8936 Å, 90.00 90.00 90.00°
Space group F-43m (No. 216)
Symmetry-distinct sites (fractional):
Tl 0.0000 0.0000 0.0000 (multiplicity 4)
Te 0.2500 0.2500 0.7500 (multiplicity 4)
W 0.2500 0.2500 0.2500 (multiplicity 4)

## Properties
The calculation puts the formation energy (no corrections) at 1.864 eV/atom. Its energy above the most stable polymorph in this dataset is 3.71 eV per formula unit.

=====

Y2TlTe: PBEsol geometry, SCAN.

Cell: 3.6451 3.6451 7.8987 Å, 90.00 90.00 90.00°
Space group P4/mmm (No. 123)
Symmetry-distinct sites (fractional):
Y 0.0000 0.0000 0.2416 (multiplicity 2)
Tl 0.5000 0.5000 0.5000 (multiplicity 1)
Te 0.5000 0.5000 0.0000 (multiplicity 1)

## Properties
The calculation puts the formation energy (no corrections) at -0.870 eV/atom. Its energy above the most stable polymorph in this dataset is 0.75 eV per formula unit.

=====

YTl2Te: PBEsol geometry, SCAN.

Cell: 4.2185 4.2185 6.1899 Å, 90.00 90.00 90.00°
Space group P4/mmm (No. 123)
Symmetry-distinct sites (fractional):
Y 0.0000 0.0000 0.0000 (multiplicity 1)
Tl 0.5000 0.5000 0.2473 (multiplicity 2)
Te 0.0000 0.0000 0.5000 (multiplicity 1)

## Properties
The calculation puts the formation energy (no corrections) at -0.373 eV/atom. Its energy above the most stable polymorph in this dataset is 1.01 eV per formula unit.

=====

YTl2Te: PBEsol geometry, SCAN.

Cell: 4.0504 4.0504 6.7727 Å, 90.00 90.00 90.00°
Space group P4mm (No. 99)
Symmetry-distinct sites (fractional):
Y 0.0000 0.0000 0.0000 (multiplicity 1)
Tl 0.0000 0.0000 0.4880 (multiplicity 1)
Tl 0.5000 0.5000 0.7079 (multiplicity 1)
Te 0.5000 0.5000 0.1694 (multiplicity 1)

## Properties
The calculation puts the formation energy (no corrections) at -0.626 eV/atom. Its energy above the most stable polymorph in this dataset is 0.00 eV per formula unit.

=====

Y2TlTe: PBEsol geometry, SCAN.

Cell: 4.1101 4.1101 23.2576 Å, 90.00 90.00 120.00°
Space group R-3m (No. 166, hexagonal axes)
Symmetry-distinct sites (fractional):
Y 0.0000 0.0000 0.2486 (multiplicity 6)
Tl 0.0000 0.0000 0.0000 (multiplicity 3)
Te 0.0000 0.0000 0.5000 (multiplicity 3)

## Properties
The calculation puts the formation energy (no corrections) at -1.056 eV/atom. Its energy above the most stable polymorph in this dataset is 0.00 eV per formula unit.

=====

Y2TlTe: PBEsol geometry, SCAN.

Cell: 4.3173 4.3173 6.1164 Å, 90.00 90.00 90.00°
Space group P4/mmm (No. 123)
Symmetry-distinct sites (fractional):
Y 0.0000 0.0000 0.0000 (multiplicity 1)
Y 0.5000 0.5000 0.5000 (multiplicity 1)
Tl 0.0000 0.0000 0.5000 (multiplicity 1)
Te 0.5000 0.5000 0.0000 (multiplicity 1)

## Properties
The calculation puts the formation energy (no corrections) at -1.047 eV/atom. Its energy above the most stable polymorph in this dataset is 0.04 eV per formula unit.

=====

Y2TlTe: PBEsol geometry, SCAN.

Cell: 5.3923 5.3923 3.6194 Å, 90.00 90.00 90.00°
Space group P4/mmm (No. 123)
Symmetry-distinct sites (fractional):
Y 0.0000 0.5000 0.0000 (multiplicity 2)
Tl 0.0000 0.0000 0.5000 (multiplicity 1)
Te 0.5000 0.5000 0.5000 (multiplicity 1)

## Properties
The calculation puts the formation energy (no corrections) at -0.807 eV/atom. Its energy above the most stable polymorph in this dataset is 1.00 eV per formula unit.